This record from Alexandria describes an optimized crystal structure of Sr5Sc. The functional is GGA-PBE.

The structure in extended XYZ format:
```
6
Lattice="2.1401 7.1495 -0.0109 -2.1401 7.1495 -0.0109 0.0000 3.5154 9.2207" Properties=species:S:1:pos:R:3 pbc="T T T"
Sr 0.0000 12.1870 5.9263
Sr 0.0000 6.0271 2.2544
Sr 0.0000 8.2799 7.3859
Sr 0.0000 1.9594 4.0911
Sr 0.0000 9.9439 0.7793
Sc 0.0000 3.7159 8.7148
```

Raw total energy = -13.82 eV per cell
SG = Cm, No. 8
E_form = 0.154 eV/atom
Energy above the lowest structure with this stoichiometry = 0.104 eV per formula unit

---

This record from Alexandria describes an optimized crystal structure of InSnCl3. The functional is GGA-PBE.

The structure in extended XYZ format:
```
10
Lattice="6.1700 0.0000 0.0000 0.0000 6.1700 0.0000 3.0850 3.0850 8.9647" Properties=species:S:1:pos:R:3 pbc="T T T"
Cl 1.4725 6.1700 2.6609
Cl 3.0850 7.7825 6.3037
Cl 3.0850 4.5575 6.3037
Cl 4.6975 6.1700 2.6609
Cl 3.0850 3.0850 3.0965
Cl 6.1700 6.1700 5.8682
Sn 6.1700 3.0850 6.0436
Sn 6.1700 3.0850 2.9210
In 0.0000 0.0000 0.0000
In 3.0850 6.1700 4.4823
```

Raw total energy = -30.14 eV per cell
SG = I-4m2, No. 119

---

- raw total energy of number 1 (Sr5Sc)?
  -13.82 eV per cell

---

What did the second record say?
This record from Alexandria describes an optimized crystal structure of InSnCl3. The functional is GGA-PBE.

The structure in extended XYZ format:
```
10
Lattice="6.1700 0.0000 0.0000 0.0000 6.1700 0.0000 3.0850 3.0850 8.9647" Properties=species:S:1:pos:R:3 pbc="T T T"
Cl 1.4725 6.1700 2.6609
Cl 3.0850 7.7825 6.3037
Cl 3.0850 4.5575 6.3037
Cl 4.6975 6.1700 2.6609
Cl 3.0850 3.0850 3.0965
Cl 6.1700 6.1700 5.8682
Sn 6.1700 3.0850 6.0436
Sn 6.1700 3.0850 2.9210
In 0.0000 0.0000 0.0000
In 3.0850 6.1700 4.4823
```

Raw total energy = -30.14 eV per cell
SG = I-4m2, No. 119